A plane-wave DFT calculation with PBE was carried out for crystalline Rb3NpRh3S8 at its relaxed geometry.

Unit cell a=7.2954 b=7.2959 c=8.6837 alpha=114.87 beta=90.00 gamma=120.00
Each line ends with the local moment (μB).
Atoms (fractional coordinates):
S (0.2412, 0.4832, 0.6808)  -0.05
S (0.6978, 0.9390, 0.6808)  -0.05
S (0.7581, 0.0603, 0.3192)  -0.05
S (0.3022, 0.0610, 0.3192)  -0.05
S (0.7588, 0.5168, 0.3192)  -0.05
S (0.2816, 0.5632, 0.3448)  0.00
S (0.7184, 0.4368, 0.6552)  0.00
S (0.2419, 0.9397, 0.6808)  -0.05
Np (0.0000, 0.0000, 0.5000)  3.12
Rb (0.5000, 0.5000, 0.0000)  0.00
Rb (0.0000, 0.5000, 0.0000)  0.00
Rb (0.0000, 0.0000, 0.0000)  0.00
Rh (0.0000, 0.5000, 0.5000)  0.04
Rh (0.5000, 0.0000, 0.5000)  0.04
Rh (0.5000, 0.5000, 0.5000)  0.04

Properties
formation energy without anion corrections	-0.856	eV per atom
total magnetization	3.0	μB per formula unit
DFT total energy	-83.76	eV per cell
symmetry	No. 166

A plane-wave DFT calculation with PBE was carried out for crystalline Ca2V2Bi at its relaxed geometry.

Unit cell a=8.5450 b=8.5450 c=3.5494 alpha=90.00 beta=90.00 gamma=90.00
Atoms (fractional coordinates):
Ca (0.2922, 0.2078, 0.5000)
Ca (0.7078, 0.7922, 0.5000)
Ca (0.7922, 0.2922, 0.5000)
Ca (0.2078, 0.7078, 0.5000)
Bi (0.5000, 0.5000, 0.0000)
Bi (0.0000, 0.0000, 0.0000)
V (0.0758, 0.4242, 0.0000)
V (0.5758, 0.0758, 0.0000)
V (0.9242, 0.5758, 0.0000)
V (0.4242, 0.9242, 0.0000)

Properties
total magnetization	0.0	μB per formula unit
DFT total energy	-49.21	eV per cell
symmetry	No. 127
ΔH_f (0 K)	0.303	eV per atom
ΔE to the lowest computed polymorph	0	meV per atom

A plane-wave DFT calculation with PBE was carried out for crystalline ZrAs at its relaxed geometry.

Unit cell a=3.0040 b=3.0040 c=10.3306 alpha=90.00 beta=90.00 gamma=90.00
Atoms (fractional coordinates):
As (0.2500, 0.2500, 0.1787)
As (0.7500, 0.7500, 0.8213)
Zr (0.2500, 0.2500, 0.6236)
Zr (0.7500, 0.7500, 0.3764)

Properties
total magnetization	0.0	μB per formula unit
DFT total energy	-27.46	eV per cell
symmetry	No. 129
ΔH_f (0 K)	-0.266	eV per atom

A plane-wave DFT calculation with PBE was carried out for crystalline Rb2FeMoI6 at its relaxed geometry.

Unit cell a=8.1055 b=8.1055 c=8.1037 alpha=59.99 beta=59.99 gamma=90.00
Each line ends with the local moment (μB).
Atoms (fractional coordinates):
I (0.7499, 0.7499, 0.0000)  0.03
I (0.7499, 0.2501, 0.0000)  0.03
I (0.2500, 0.2500, 0.5000)  0.03
I (0.2501, 0.7499, 0.0000)  0.03
I (0.2501, 0.2501, 0.0000)  0.03
I (0.7500, 0.7500, 0.5000)  0.03
Rb (0.7500, 0.2500, 0.5000)  0.00
Rb (0.2500, 0.7500, 0.5000)  0.00
Fe (0.5000, 0.5000, 0.0000)  3.06
Mo (0.0000, 0.0000, 0.0000)  2.71

Properties
formation energy without anion corrections	-0.484	eV per atom
total magnetization	6.7	μB per formula unit
DFT total energy	-35.37	eV per cell
symmetry	No. 225